Arrangement w

The following is a PBEsol calculation of CoNiAs2 after structural relaxation, from Alexandria via LeMat-Bulk.

The structure in POSCAR format:
```
CoNiAs2
1.0
3.5590 0.0000 0.0000
-1.7795 3.0822 0.0000
0.0000 0.0000 4.9346
Co Ni As
1 1 2
direct
0.0000 0.0000 0.0000 Co
0.0000 0.0000 0.5000 Ni
0.3333 0.6667 0.2404 As
0.6667 0.3333 0.7596 As
```

Computed properties:
* density of states at the Fermi level: 2.508 states/eV per cell
* volume: 13.53 Å³/atom

=====

Arrangement x

The following is a PBEsol calculation of CoNiAs2 after structural relaxation, from Alexandria via LeMat-Bulk.

The structure in POSCAR format:
```
CoNiAs2
1.0
3.2766 0.0000 0.0000
0.0000 3.2766 0.0000
0.0000 0.0000 4.9085
Co Ni As
1 1 2
direct
0.0000 0.0000 0.0000 Co
0.5000 0.5000 0.3331 Ni
0.0000 0.0000 0.4768 As
0.5000 0.5000 0.8564 As
```

Computed properties:
* density of states at the Fermi level: 3.255 states/eV per cell
* volume: 13.17 Å³/atom

=====

Which is the most stable structure? arrangement w is the most stable.

=====

Arrangement w

The following is a PBEsol calculation of CoNiAs2Se after structural relaxation, from Alexandria via LeMat-Bulk.

The structure in POSCAR format:
```
CoNiAs2Se
1.0
4.3198 0.0000 0.0000
0.0000 4.3198 0.0000
0.0000 0.0000 4.8500
Co Ni As Se
1 1 2 1
direct
0.0000 0.0000 0.0000 Co
0.5000 0.5000 0.5000 Ni
0.0000 0.5000 0.0000 As
0.5000 0.0000 0.0000 As
0.0000 0.0000 0.5000 Se
```

Computed properties:
* density of states at the Fermi level: 3.780 states/eV per cell
* volume: 18.10 Å³/atom

=====

Arrangement x

The following is a PBEsol calculation of CoNiAs2Se after structural relaxation, from Alexandria via LeMat-Bulk.

The structure in POSCAR format:
```
CoNiAs2Se
1.0
4.4212 0.0000 0.0000
0.0000 4.4212 0.0000
0.0000 0.0000 4.7540
Co Ni As Se
1 1 2 1
direct
0.0000 0.0000 0.0000 Co
0.5000 0.5000 0.5000 Ni
0.0000 0.5000 0.5000 As
0.5000 0.0000 0.5000 As
0.5000 0.5000 0.0000 Se
```

Computed properties:
* density of states at the Fermi level: 5.653 states/eV per cell
* volume: 18.59 Å³/atom

=====

Which is the most stable structure? arrangement w is the most stable.